PrMgSn2Pt4 (PBE-GGA, relaxed); DFT formation energy = -0.78 eV per atom; E = -5.60 eV/atom; N(E_F) = 2.7 states/eV per cell
1.0
4.5575 0.0000 0.0000
2.2788 3.9469 0.0000
2.2788 1.3156 8.7888
Pr Mg Sn Pt
1 1 2 4
Cartesian
0.0000 0.0000 0.0000
4.5575 2.6313 4.3944
6.8363 3.9469 6.4011
2.2788 1.3156 2.3877
4.5575 2.6313 7.0467
6.8363 3.9469 3.5616
2.2788 1.3156 5.2272
4.5575 2.6313 1.7421